Entry 1:
The following is a DFT calculation (PBE) of an optimized crystal structure of CdHPt3.

```
data_CdHPt3
_chemical_formula_sum 'Cd2 H2 Pt6'
_space_group_name_H-M_alt 'P 1'
_space_group_IT_number 1
_space_group_name_Hall 'P 1'
_cell_length_a 5.299
_cell_length_b 5.299
_cell_length_c 5.299
_cell_angle_alpha 83.53
_cell_angle_beta 83.53
_cell_angle_gamma 83.53
loop_
_atom_site_label
_atom_site_fract_x
_atom_site_fract_y
_atom_site_fract_z
_atom_site_occupancy
Cd1 0.000 0.000 0.000 1
Cd2 0.500 0.500 0.500 1
H1 0.250 0.250 0.250 1
H2 0.750 0.750 0.750 1
Pt1 0.006 0.750 0.494 1
Pt2 0.250 0.506 0.994 1
Pt3 0.494 0.006 0.750 1
Pt4 0.506 0.994 0.250 1
Pt5 0.750 0.494 0.006 1
Pt6 0.994 0.250 0.506 1
```

N(E_F) = 2.61 states/eV/f.u.
Space-group type = No. 167
Electronic total energy = -44.0 eV/cell
E above lowest polymorph = 22.07 kJ per mole of atoms



Entry 2:
The following is a DFT calculation (PBE) of an optimized crystal structure of CdHPt3.

```
data_CdHPt3
_chemical_formula_sum 'Cd2 H2 Pt6'
_space_group_name_H-M_alt 'P 1'
_space_group_IT_number 1
_space_group_name_Hall 'P 1'
_cell_length_a 8.391
_cell_length_b 8.391
_cell_length_c 6.593
_cell_angle_alpha 100.70
_cell_angle_beta 100.70
_cell_angle_gamma 19.64
loop_
_atom_site_label
_atom_site_fract_x
_atom_site_fract_y
_atom_site_fract_z
_atom_site_occupancy
Cd1 0.111 0.111 0.267 1
Cd2 0.889 0.889 0.733 1
H1 0.492 0.492 0.257 1
H2 0.508 0.508 0.743 1
Pt1 0.057 0.057 0.684 1
Pt2 0.226 0.226 0.650 1
Pt3 0.325 0.325 0.043 1
Pt4 0.675 0.675 0.957 1
Pt5 0.774 0.774 0.350 1
Pt6 0.943 0.943 0.316 1
```

N(E_F) = 3.20 states/eV/f.u.
Space-group type = No. 12
Electronic total energy = -45.3 eV/cell
E above lowest polymorph = 9.38 kJ per mole of atoms